No. 1
SiPS2Cl: PBEsol geometry, SCAN.

Computed properties:
Space group = P4/mmm, No. 123
Energy relative to the elements, uncorrected = 49.8 kJ/mol of atoms
Total magnetization = 0.00 μB/atom
Electronic total energy = -9.01 eV/atom
Crystal system = tetragonal
Mass density = 2.8 g cm⁻³

Cell lengths 4.5012, 4.5447, 4.5447 Å; angles 90.00, 90.00, 90.00 degrees
Sites, in units of the cell vectors:
P1 0.0000 0.0000 0.0000
S1 0.0000 0.0000 0.5000
S2 0.0000 0.5000 0.0000
Si1 0.5000 0.5000 0.5000
Cl1 0.5000 0.0000 0.0000

No. 2
LiLaRe: PBEsol geometry, SCAN.

Computed properties:
Space group = I4mm, No. 107
DFT formation energy = 583.7 meV per atom
Total magnetization = 0.00 μB/atom
Electronic total energy = -38.28 eV/atom
Crystal system = tetragonal
Mass density = 9.9 g cm⁻³

Cell lengths 3.5195, 3.5195, 5.1495 Å; angles 109.98, 109.98, 90.00 degrees
Sites, in units of the cell vectors:
La1 0.0002 0.0002 0.0003
Li1 0.6885 0.6885 0.3770
Re1 0.3113 0.3113 0.6226

No. 3
NiMoPt2: PBEsol geometry, SCAN.

Computed properties:
Space group = Pmm2, No. 25
DFT formation energy = -211.7 meV per atom
Total magnetization = 0.00 μB/atom
Electronic total energy = -48.07 eV/atom
Crystal system = orthorhombic
Mass density = 16.3 g cm⁻³

Cell lengths 2.7141, 3.8090, 5.3819 Å; angles 90.00, 90.00, 90.00 degrees
Sites, in units of the cell vectors:
Ni1 0.5000 0.5000 0.7445
Mo1 0.0000 0.0000 0.5106
Pt1 0.0000 0.0000 0.9812
Pt2 0.5000 0.5000 0.2637

No. 4
Cd2TcTeP: PBEsol geometry, SCAN.

Computed properties:
Space group = P4/mmm, No. 123
Energy relative to the elements, uncorrected = 132.7 kJ/mol of atoms
Total magnetization = 0.75 μB/atom
Electronic total energy = -27.33 eV/atom
Crystal system = tetragonal
Mass density = 5.7 g cm⁻³

Cell lengths 4.9632, 5.3253, 5.3253 Å; angles 90.00, 90.00, 90.00 degrees
Site moments in Bohr magnetons follow the coordinates.
Sites, in units of the cell vectors:
P1 0.5000 0.5000 0.5000  0.27
Te1 0.0000 0.0000 0.0000  -0.01
Tc1 0.5000 0.0000 0.0000  2.96
Cd1 0.0000 0.0000 0.5000  0.00
Cd2 0.0000 0.5000 0.0000  0.00

No. 5
CaTe2P: PBEsol geometry, SCAN.

Computed properties:
Space group = Pmmm, No. 47
Energy relative to the elements, uncorrected = -29.9 kJ/mol of atoms
Total magnetization = 0.00 μB/atom
Electronic total energy = -23.95 eV/atom
Crystal system = orthorhombic
Mass density = 5.6 g cm⁻³

Cell lengths 3.8316, 5.0447, 5.0278 Å; angles 90.00, 90.00, 90.00 degrees
Sites, in units of the cell vectors:
Ca1 0.5000 0.5000 0.0000
P1 0.5000 0.0000 0.5000
Te1 0.0000 0.0000 0.0000
Te2 0.0000 0.5000 0.5000

No. 6
NaLiCaP2: PBEsol geometry, SCAN.

Computed properties:
Space group = P4/mmm, No. 123
DFT formation energy = 4.7 meV per atom
Total magnetization = 0.00 μB/atom
Electronic total energy = -7.41 eV/atom
Crystal system = tetragonal
Mass density = 2.1 g cm⁻³

Cell lengths 4.2880, 4.9703, 4.9703 Å; angles 90.00, 90.00, 90.00 degrees
Sites, in units of the cell vectors:
P1 0.0000 0.0000 0.5000
P2 0.0000 0.5000 0.0000
Ca1 0.5000 0.5000 0.5000
Li1 0.5000 0.0000 0.0000
Na1 0.0000 0.0000 0.0000

What is the formula in the second record? LiLaRe

The highest electronic total energy belongs to which entry? NaLiCaP2

What is the formula in the fifth record? CaTe2P

Among the records above, which one has the highest mass density? NiMoPt2